Entry 1:
VASP calculation (PBE) on a relaxed DySi4Ni2 crystal.

abc: 3.915 6.320 16.834
angles: 90.00 90.00 90.00
Positions (direct):
Si (0.750, 0.805, 0.791)
Si (0.750, 0.976, 0.064)
Si (0.250, 0.195, 0.209)
Si (0.750, 0.630, 0.979)
Si (0.250, 0.370, 0.021)
Si (0.750, 0.524, 0.564)
Si (0.750, 0.695, 0.291)
Si (0.250, 0.130, 0.521)
Si (0.750, 0.206, 0.819)
Si (0.250, 0.024, 0.936)
Si (0.750, 0.870, 0.479)
Si (0.250, 0.706, 0.681)
Si (0.250, 0.794, 0.181)
Si (0.750, 0.294, 0.319)
Si (0.250, 0.476, 0.436)
Si (0.250, 0.305, 0.709)
Dy (0.750, 0.041, 0.639)
Dy (0.750, 0.459, 0.139)
Dy (0.250, 0.541, 0.861)
Dy (0.250, 0.959, 0.361)
Ni (0.250, 0.999, 0.792)
Ni (0.750, 0.001, 0.208)
Ni (0.250, 0.501, 0.292)
Ni (0.250, 0.755, 0.038)
Ni (0.750, 0.245, 0.962)
Ni (0.250, 0.745, 0.538)
Ni (0.750, 0.255, 0.462)
Ni (0.750, 0.499, 0.708)

## Properties
**Fermi-level density of states**: 0.425 states/eV/atom
**Density**: 6.25 g cm⁻³
**M_tot**: 0.00 μB/cell
**Space-group type**: Pnma (62)
**Energy relative to the elements, uncorrected**: -3.5 eV/f.u.
**DFT total energy**: -41.33 eV/f.u.

Entry 2:
VASP calculation (PBE) on a relaxed DySi3Ni9 crystal.

abc: 4.785 6.101 6.263
angles: 82.06 67.54 68.80
Positions (direct):
Ni (0.019, 0.343, 0.646)
Ni (0.488, 0.777, 0.227)
Ni (0.981, 0.657, 0.354)
Ni (0.512, 0.223, 0.773)
Ni (0.285, 0.223, 0.227)
Ni (0.665, 0.343, 0.354)
Ni (0.715, 0.777, 0.773)
Ni (0.000, 0.500, 0.000)
Ni (0.335, 0.657, 0.646)
Si (0.500, 0.500, 0.000)
Si (0.500, 0.000, 0.500)
Si (0.000, 0.000, 0.500)
Dy (0.000, 0.000, 0.000)

## Properties
**Fermi-level density of states**: 0.641 states/eV/atom
**Density**: 8.17 g cm⁻³
**M_tot**: 0.00 μB/cell
**Space-group type**: C2/m (12)
**Energy relative to the elements, uncorrected**: -6.4 eV/f.u.
**DFT total energy**: -79.34 eV/f.u.